Entry 1:
DFT (PBE-GGA) results for a relaxed structure of NdTeBr.

Cell: 7.4528 7.4528 7.4528 Å, 90.00 90.00 90.00°
Last column: nearest neighbours and their distance in Å.
Space group F-43m (No. 216)
One atom of each set of equivalent atoms:
Nd (0.0000, 0.0000, 0.0000)  4 Br 3.23, 4 Te 3.23
Te (0.2500, 0.2500, 0.2500)  4 Nd 3.23
Br (0.2500, 0.2500, 0.7500)  4 Nd 3.23

## Properties
**E above lowest polymorph**: 81 meV/atom
**Energy**: -56.48 eV for the cell shown
**N(E_F)**: 0.0 states/eV/f.u.
**Raw formation energy**: -1512.5 meV/atom

Entry 2:
DFT (PBE-GGA) results for a relaxed structure of ZnP.

Cell: 4.0669 4.0738 5.5370 Å, 90.47 107.19 119.61°
Last column: nearest neighbours and their distance in Å.
Space group P-1 (No. 2)
One atom of each set of equivalent atoms:
Zn (0.0695, 0.2372, 0.2121)  3 P 2.37-2.42
P (0.4503, 0.9181, 0.2909)  1 P 2.26, 3 Zn 2.37-2.42

## Properties
**Energy**: -13.90 eV for the cell shown
**N(E_F)**: 0.0 states/eV/f.u.
**Calculated formation energy**: -133.4 meV per atom

Entry 3:
DFT (PBE-GGA) results for a relaxed structure of Pm4HoEr.

Cell: 9.3845 9.3845 9.3845 Å, 90.00 90.00 90.00°
Last column: nearest neighbours and their distance in Å.
Space group F-43m (No. 216)
One atom of each set of equivalent atoms:
Pm (0.1251, 0.1251, 0.1251)  6 Pm 3.32
Ho (0.2500, 0.2500, 0.7500)  12 Pm 3.89, 4 Er 4.06
Er (0.0000, 0.0000, 0.5000)  12 Pm 3.89, 4 Ho 4.06

## Properties
**E above lowest polymorph**: 205 meV/atom
**Energy**: -106.26 eV for the cell shown
**N(E_F)**: 10.1 states/eV/f.u.
**Calculated formation energy**: 262.9 meV per atom

Which of these has the lowest energy?
Pm4HoEr

Number 1 is which compound?
NdTeBr

The highest N(E_F) belongs to which entry?
Pm4HoEr

Which of these has the highest energy?
ZnP